Density functional theory data (PBE) for a relaxed Dy2HoErS6 crystal.

Results
raw formation energy = -2063 meV/atom
crystal system = trigonal
energy = -6.37 eV per atom

```
10
Lattice="6.886 0.001 0.001 3.443 5.963 0.000 3.443 1.988 6.155" Properties=species:S:1:pos:R:3 pbc="T T T"
Dy 3.443 1.988 5.838
Dy 6.886 3.976 2.767
S 5.837 1.783 1.556
S 7.946 5.760 4.630
S 4.811 4.002 4.630
S 7.902 2.165 4.630
S 9.310 4.164 1.556
S 5.511 5.980 1.556
Er 10.329 5.963 3.388
Ho 3.443 1.988 0.318
```